The following is a PBE with a Hubbard U calculation of a relaxed structure of PmCr2CoO8, from the Alexandria database.

Results
The mass density is 4.5 g/cm³. The density of states at the Fermi level comes out at 0.393 states/eV per atom. For the total energy, the calculation gives -83.36 eV/cell. The total magnetization is 2.00 μB per cell.

a b c (Å): 5.9510 5.9510 5.9510
angles (deg): 106.68 106.68 115.22
Element x y z (fractional)
1 Pm 0.0000 0.0000 0.0000
2 Cr 0.5000 0.5000 0.0000
3 Cr 0.7500 0.2500 0.5000
4 Co 0.2500 0.7500 0.5000
5 O 0.3318 0.1414 0.8096
6 O 0.3318 0.5222 0.1904
7 O 0.4074 0.0911 0.3164
8 O 0.4778 0.6682 0.8096
9 O 0.7747 0.0911 0.6836
10 O 0.8586 0.6682 0.1904
11 O 0.9089 0.2253 0.3164
12 O 0.9089 0.5926 0.6836